Record 1
The following is a PBE calculation of Co2MoRh after structural relaxation, from Alexandria via LeMat-Bulk.

abc: 4.525 4.525 4.589
angles: 80.02 80.02 34.47
Last column: magnetic moment on the atom in μB.
Fractional coordinates of all 4 atoms:
Co1 0.998 0.998 0.997  1.31
Co2 0.502 0.502 0.503  1.31
Mo1 0.750 0.750 0.750  -0.13
Rh1 0.250 0.250 0.250  0.26

VASP energy: -8.01 eV/atom
ΔE_f: 93 meV/atom

Record 2
The following is a PBE calculation of Hf4SN after structural relaxation, from Alexandria via LeMat-Bulk.

abc: 6.557 6.557 6.557
angles: 106.17 106.17 116.30
Fractional coordinates of all 12 atoms:
Hf1 0.265 0.478 0.787
Hf2 0.228 0.515 0.287
Hf3 0.828 0.023 0.805
Hf4 0.773 0.469 0.695
Hf5 0.773 0.078 0.305
Hf6 0.219 0.023 0.195
Hf7 0.228 0.940 0.713
Hf8 0.690 0.478 0.213
S1 0.488 0.988 0.500
S2 0.738 0.738 0.000
N1 0.260 0.260 0.000
N2 0.010 0.510 0.500

VASP energy: -9.70 eV/atom
E_form (uncorrected): -6.0 eV/f.u.

Record 3
The following is a PBE calculation of InWBr2 after structural relaxation, from Alexandria via LeMat-Bulk.

abc: 4.248 3.162 7.120
angles: 89.91 90.00 90.00
Fractional coordinates of all 4 atoms:
W1 0.500 0.750 0.750
Br1 0.000 0.752 0.537
Br2 0.000 0.748 0.963
In1 0.500 0.250 0.250

VASP energy: -4.20 eV/atom
E_form (uncorrected): 2.2 eV/f.u.

Among the records above, which one has the highest VASP energy?
InWBr2

What is the VASP energy in the second record?
-9.70 eV/atom